--- a ---
Computed, not measured: a relaxed TmPuSb crystal at the PBE-GGA level of DFT.

Structure (CIF):
```
data_TmPuSb
_cell_length_a 3.937
_cell_length_b 21.130
_cell_length_c 3.986
_cell_angle_alpha 90.00
_cell_angle_beta 90.00
_cell_angle_gamma 90.00
_symmetry_space_group_name_H-M 'C m c m'
_symmetry_Int_Tables_number 63
_symmetry_space_group_name_Hall '-C 2c 2'
loop_
_atom_site_label
_atom_site_type_symbol
_atom_site_fract_x
_atom_site_fract_y
_atom_site_fract_z
_atom_site_occupancy
Tm1 Tm 0.000 0.203 0.250 1
Pu1 Pu 0.000 0.057 0.250 1
Sb1 Sb 0.000 0.364 0.250 1
```

Summary:
Total magnetization in μB/cell: 24.86

=====

--- b ---
Computed, not measured: a relaxed TmPuSb crystal at the PBE-GGA level of DFT.

Structure (CIF):
```
data_TmPuSb
_cell_length_a 3.998
_cell_length_b 3.998
_cell_length_c 10.009
_cell_angle_alpha 90.00
_cell_angle_beta 90.00
_cell_angle_gamma 90.00
_symmetry_space_group_name_H-M 'I 4 m m'
_symmetry_Int_Tables_number 107
_symmetry_space_group_name_Hall 'I 4 -2'
loop_
_atom_site_label
_atom_site_type_symbol
_atom_site_fract_x
_atom_site_fract_y
_atom_site_fract_z
_atom_site_occupancy
Tm1 Tm 0.000 0.000 0.000 1
Pu1 Pu 0.000 0.000 0.310 1
Sb1 Sb 0.000 0.000 0.646 1
```

Summary:
Total magnetization in μB/cell: 13.18

=====

Last place for stability: a

=====

--- a ---
Computed, not measured: a relaxed TmPuSb crystal at the PBE-GGA level of DFT.

Structure (CIF):
```
data_TmPuSb
_cell_length_a 4.292
_cell_length_b 4.292
_cell_length_c 8.662
_cell_angle_alpha 90.00
_cell_angle_beta 90.00
_cell_angle_gamma 90.00
_symmetry_space_group_name_H-M 'P 4/n m m'
_symmetry_Int_Tables_number 129
loop_
_symmetry_equiv_pos_as_xyz
'x,y,z'
'-x,-y,-z'
'-y+1/2,x,z'
'y+1/2,-x,-z'
'-x+1/2,-y+1/2,z'
'x+1/2,y+1/2,-z'
'y,-x+1/2,z'
'-y,x+1/2,-z'
'x+1/2,-y,-z'
'-x+1/2,y,z'
'-y,-x,-z'
'y,x,z'
'-x,y+1/2,-z'
'x,-y+1/2,z'
'y+1/2,x+1/2,-z'
'-y+1/2,-x+1/2,z'
loop_
_atom_site_label
_atom_site_type_symbol
_atom_site_fract_x
_atom_site_fract_y
_atom_site_fract_z
_atom_site_occupancy
Tm1 Tm 0.250 0.250 0.146 1
Pu1 Pu 0.250 0.750 0.500 1
Sb1 Sb 0.250 0.250 0.791 1
```

Summary:
Total magnetization in μB/cell: 11.22

=====

--- b ---
Computed, not measured: a relaxed TmPuSb crystal at the PBE-GGA level of DFT.

Structure (CIF):
```
data_TmPuSb
_cell_length_a 5.1185
_cell_length_b 5.1185
_cell_length_c 3.6755
_cell_angle_alpha 90.00
_cell_angle_beta 90.00
_cell_angle_gamma 120.00
_symmetry_space_group_name_H-M 'P 3 m 1'
_symmetry_Int_Tables_number 156
loop_
_symmetry_equiv_pos_as_xyz
'x,y,z'
'-y,x-y,z'
'-x+y,-x,z'
'-y,-x,z'
'-x+y,y,z'
'x,x-y,z'
loop_
_atom_site_label
_atom_site_type_symbol
_atom_site_fract_x
_atom_site_fract_y
_atom_site_fract_z
_atom_site_occupancy
Tm1 Tm 0.0000 0.0000 0.0000 1
Pu1 Pu 0.3333 0.6667 0.5512 1
Sb1 Sb 0.6667 0.3333 0.1821 1
```

Summary:
Total magnetization in μB/cell: 6.32

=====

Last place for stability: b

=====

--- a ---
Computed, not measured: a relaxed PuUSb2 crystal at the PBE-GGA level of DFT.

Structure (CIF):
```
data_PuUSb2
_cell_length_a 3.977
_cell_length_b 3.977
_cell_length_c 6.529
_cell_angle_alpha 90.00
_cell_angle_beta 90.00
_cell_angle_gamma 90.00
_symmetry_space_group_name_H-M 'P 4/m m m'
_symmetry_Int_Tables_number 123
_symmetry_space_group_name_Hall '-P 4 2'
loop_
_atom_site_label
_atom_site_type_symbol
_atom_site_fract_x
_atom_site_fract_y
_atom_site_fract_z
_atom_site_occupancy
Pu1 Pu 0.000 0.000 0.000 1
U1 U 0.000 0.000 0.500 1
Sb1 Sb 0.500 0.500 0.254 1
```

Summary:
Total magnetization in μB/cell: 3.14

=====

--- b ---
Computed, not measured: a relaxed PuUSb2 crystal at the PBE-GGA level of DFT.

Structure (CIF):
```
data_PuUSb2
_cell_length_a 4.2506
_cell_length_b 4.2506
_cell_length_c 23.3006
_cell_angle_alpha 90.00
_cell_angle_beta 90.00
_cell_angle_gamma 120.00
_symmetry_space_group_name_H-M 'R 3 m'
_symmetry_Int_Tables_number 160
_symmetry_space_group_name_Hall 'R 3 -2"'
loop_
_atom_site_label
_atom_site_type_symbol
_atom_site_fract_x
_atom_site_fract_y
_atom_site_fract_z
_atom_site_occupancy
Pu1 Pu 0.0000 0.0000 0.0000 1
U1 U 0.0000 0.0000 0.1691 1
Sb1 Sb 0.0000 0.0000 0.4183 1
Sb2 Sb 0.0000 0.0000 0.5851 1
```

Summary:
Total magnetization in μB/cell: 24.00

=====

--- c ---
Computed, not measured: a relaxed PuUSb2 crystal at the PBE-GGA level of DFT.

Structure (CIF):
```
data_PuUSb2
_cell_length_a 7.497
_cell_length_b 7.497
_cell_length_c 7.497
_cell_angle_alpha 90.00
_cell_angle_beta 90.00
_cell_angle_gamma 90.00
_symmetry_space_group_name_H-M 'F m -3 m'
_symmetry_Int_Tables_number 225
_symmetry_space_group_name_Hall '-F 4 2 3'
loop_
_atom_site_label
_atom_site_type_symbol
_atom_site_fract_x
_atom_site_fract_y
_atom_site_fract_z
_atom_site_occupancy
Pu1 Pu 0.000 0.000 0.000 1
U1 U 0.000 0.000 0.500 1
Sb1 Sb 0.250 0.250 0.250 1
```

Summary:
Total magnetization in μB/cell: 13.50

=====

Last place for stability: c

=====

--- a ---
Computed, not measured: a relaxed PuVSb2 crystal at the PBE-GGA level of DFT.

Structure (CIF):
```
data_PuVSb2
_cell_length_a 3.3274
_cell_length_b 3.3274
_cell_length_c 30.9491
_cell_angle_alpha 90.00
_cell_angle_beta 90.00
_cell_angle_gamma 120.00
_symmetry_space_group_name_H-M 'R -3 m'
_symmetry_Int_Tables_number 166
_symmetry_space_group_name_Hall '-R 3 2"'
loop_
_atom_site_label
_atom_site_type_symbol
_atom_site_fract_x
_atom_site_fract_y
_atom_site_fract_z
_atom_site_occupancy
Pu1 Pu 0.0000 0.0000 0.0000 1
V1 V 0.0000 0.0000 0.5000 1
Sb1 Sb 0.0000 0.0000 0.1040 1
```

Summary:
Total magnetization in μB/cell: 19.47

=====

--- b ---
Computed, not measured: a relaxed PuVSb2 crystal at the PBE-GGA level of DFT.

Structure (CIF):
```
data_PuVSb2
_cell_length_a 3.365
_cell_length_b 3.365
_cell_length_c 7.722
_cell_angle_alpha 90.00
_cell_angle_beta 90.00
_cell_angle_gamma 90.00
_symmetry_space_group_name_H-M 'P 4/m m m'
_symmetry_Int_Tables_number 123
_symmetry_space_group_name_Hall '-P 4 2'
loop_
_atom_site_label
_atom_site_type_symbol
_atom_site_fract_x
_atom_site_fract_y
_atom_site_fract_z
_atom_site_occupancy
Pu1 Pu 0.000 0.000 0.000 1
V1 V 0.000 0.000 0.500 1
Sb1 Sb 0.500 0.500 0.293 1
```

Summary:
Total magnetization in μB/cell: 5.79

=====

Last place for stability: a

=====

--- a ---
Computed, not measured: a relaxed YPuSb2 crystal at the PBE-GGA level of DFT.

Structure (CIF):
```
data_YPuSb2
_cell_length_a 4.3609
_cell_length_b 4.3609
_cell_length_c 7.6257
_cell_angle_alpha 90.00
_cell_angle_beta 90.00
_cell_angle_gamma 120.00
_symmetry_space_group_name_H-M 'P -3 m 1'
_symmetry_Int_Tables_number 164
_symmetry_space_group_name_Hall '-P 3 2"'
loop_
_atom_site_label
_atom_site_type_symbol
_atom_site_fract_x
_atom_site_fract_y
_atom_site_fract_z
_atom_site_occupancy
Y1 Y 0.0000 0.0000 0.0000 1
Pu1 Pu 0.0000 0.0000 0.5000 1
Sb1 Sb 0.3333 0.6667 0.7524 1
```

Summary:
Total magnetization in μB/cell: 5.13

=====

--- b ---
Computed, not measured: a relaxed YPuSb2 crystal at the PBE-GGA level of DFT.

Structure (CIF):
```
data_YPuSb2
_cell_length_a 4.4156
_cell_length_b 4.4156
_cell_length_c 21.5126
_cell_angle_alpha 90.00
_cell_angle_beta 90.00
_cell_angle_gamma 120.00
_symmetry_space_group_name_H-M 'R -3 m'
_symmetry_Int_Tables_number 166
_symmetry_space_group_name_Hall '-R 3 2"'
loop_
_atom_site_label
_atom_site_type_symbol
_atom_site_fract_x
_atom_site_fract_y
_atom_site_fract_z
_atom_site_occupancy
Y1 Y 0.0000 0.0000 0.0000 1
Pu1 Pu 0.0000 0.0000 0.5000 1
Sb1 Sb 0.0000 0.0000 0.2500 1
```

Summary:
Total magnetization in μB/cell: 15.12

=====

--- c ---
Computed, not measured: a relaxed YPuSb2 crystal at the PBE-GGA level of DFT.

Structure (CIF):
```
data_YPuSb2
_cell_length_a 5.696
_cell_length_b 5.696
_cell_length_c 3.315
_cell_angle_alpha 90.00
_cell_angle_beta 90.00
_cell_angle_gamma 90.00
_symmetry_space_group_name_H-M 'P 4/m m m'
_symmetry_Int_Tables_number 123
_symmetry_space_group_name_Hall '-P 4 2'
loop_
_atom_site_label
_atom_site_type_symbol
_atom_site_fract_x
_atom_site_fract_y
_atom_site_fract_z
_atom_site_occupancy
Y1 Y 0.000 0.000 0.000 1
Pu1 Pu 0.500 0.500 0.000 1
Sb1 Sb 0.000 0.500 0.500 1
```

Summary:
Total magnetization in μB/cell: 5.84

=====

Last place for stability: c

=====

--- a ---
Computed, not measured: a relaxed YPuSb2 crystal at the PBE-GGA level of DFT.

Structure (CIF):
```
data_YPuSb2
_cell_length_a 4.4037
_cell_length_b 4.4037
_cell_length_c 22.1079
_cell_angle_alpha 90.00
_cell_angle_beta 90.00
_cell_angle_gamma 120.00
_symmetry_space_group_name_H-M 'R 3 m'
_symmetry_Int_Tables_number 160
_symmetry_space_group_name_Hall 'R 3 -2"'
loop_
_atom_site_label
_atom_site_type_symbol
_atom_site_fract_x
_atom_site_fract_y
_atom_site_fract_z
_atom_site_occupancy
Y1 Y 0.0000 0.0000 0.0000 1
Pu1 Pu 0.0000 0.0000 0.1711 1
Sb1 Sb 0.0000 0.0000 0.5842 1
Sb2 Sb 0.0000 0.0000 0.7534 1
```

Summary:
Total magnetization in μB/cell: 15.15

=====

--- b ---
Computed, not measured: a relaxed YPuSb2 crystal at the PBE-GGA level of DFT.

Structure (CIF):
```
data_YPuSb2
_cell_length_a 6.229
_cell_length_b 6.229
_cell_length_c 12.467
_cell_angle_alpha 90.00
_cell_angle_beta 90.00
_cell_angle_gamma 90.00
_symmetry_space_group_name_H-M 'I 41/a m d'
_symmetry_Int_Tables_number 141
loop_
_symmetry_equiv_pos_as_xyz
'x,y,z'
'-x,-y,-z'
'-y+1/4,x+3/4,z+1/4'
'y+1/4,-x+3/4,-z+1/4'
'-x+1/2,-y,z+1/2'
'x+1/2,y,-z+1/2'
'y+1/4,-x+1/4,z+3/4'
'-y+1/4,x+1/4,-z+3/4'
'x,-y,-z'
'-x,y,z'
'-y+1/4,-x+1/4,-z+3/4'
'y+1/4,x+1/4,z+3/4'
'-x+1/2,y,-z+1/2'
'x+1/2,-y,z+1/2'
'y+1/4,x+3/4,-z+1/4'
'-y+1/4,-x+3/4,z+1/4'
'x+1/2,y+1/2,z+1/2'
'-x+1/2,-y+1/2,-z+1/2'
'-y+3/4,x+1/4,z+3/4'
'y+3/4,-x+1/4,-z+3/4'
'-x,-y+1/2,z'
'x,y+1/2,-z'
'y+3/4,-x+3/4,z+1/4'
'-y+3/4,x+3/4,-z+1/4'
'x+1/2,-y+1/2,-z+1/2'
'-x+1/2,y+1/2,z+1/2'
'-y+3/4,-x+3/4,-z+1/4'
'y+3/4,x+3/4,z+1/4'
'-x,y+1/2,-z'
'x,-y+1/2,z'
'y+3/4,x+1/4,-z+3/4'
'-y+3/4,-x+1/4,z+3/4'
loop_
_atom_site_label
_atom_site_type_symbol
_atom_site_fract_x
_atom_site_fract_y
_atom_site_fract_z
_atom_site_occupancy
Y1 Y 0.000 0.250 0.375 1
Pu1 Pu 0.000 0.250 0.875 1
Sb1 Sb 0.000 0.250 0.124 1
```

Summary:
Total magnetization in μB/cell: 20.18

=====

Last place for stability: a